Material: Mg2NiCl
Method: DFT, GGA-PBE
State: relaxed

Properties
For the theoretical density, the calculation gives 3.31 Mg/m³. The calculation puts the energy relative to the elements, uncorrected at -0.44 eV per atom. The density of states at the Fermi level is 2.732 states/eV per cell.

Geometry as POSCAR:
```
Mg2NiCl
1.0
7.9169 -0.0301 -0.0179
7.2490 3.1826 -0.0179
7.2490 1.5069 2.8034
Cl Mg Ni
1 2 1
Direct
0.7500 0.7500 0.7500 Cl
0.9935 0.9935 0.9935 Mg
0.5065 0.5065 0.5065 Mg
0.2500 0.2500 0.2500 Ni
```


Material: Mg2NiCl
Method: DFT, GGA-PBE
State: relaxed

Properties
For the theoretical density, the calculation gives 3.25 Mg/m³. The calculation puts the energy relative to the elements, uncorrected at -0.55 eV per atom. The density of states at the Fermi level is 1.294 states/eV per cell.

Geometry as POSCAR:
```
Mg2NiCl
1.0
-2.8436 0.6994 -0.8879
-1.0803 -2.7968 1.2567
-1.1836 3.3345 6.4171
Cl Ni Mg
1 1 2
Direct
0.5000 0.7500 0.7500 Cl
0.5000 0.2500 0.2500 Ni
0.0000 0.7498 0.0409 Mg
0.0000 0.7502 0.4591 Mg
```


Material: Mg2NiCl
Method: DFT, GGA-PBE
State: relaxed

Properties
For the theoretical density, the calculation gives 2.92 Mg/m³. The calculation puts the energy relative to the elements, uncorrected at -0.13 eV per atom. The density of states at the Fermi level is 4.981 states/eV per cell.

Geometry as POSCAR:
```
Mg2NiCl
1.0
-1.1842 -4.4369 -2.8087
4.6086 -2.6912 0.7038
-4.4679 1.8534 2.3623
Mg Cl Ni
2 1 1
Direct
0.0025 0.0025 0.0000 Mg
0.4975 0.4975 0.0000 Mg
0.2500 0.7500 0.5000 Cl
0.7500 0.2500 0.5000 Ni
```


Q: Number 2 is which compound?
A: Mg2NiCl


Q: Which formula does entry 1 have?
A: Mg2NiCl


Q: Among the records above, which one has the lowest energy relative to the elements, uncorrected?
A: number 2